No. 1
Compound: Rb2CoCl
Source: the Alexandria database
Functional: PBE
Structure: relaxed

Offset from the most stable computed form: 8 meV/atom

a b c (Å): 8.918 8.918 9.821
angles (deg): 90.00 90.00 90.00
Sites, in units of the cell vectors:
Rb (0.214, 0.750, 0.125)
Rb (0.250, 0.214, 0.875)
Rb (0.250, 0.286, 0.375)
Rb (0.286, 0.750, 0.625)
Rb (0.714, 0.250, 0.625)
Rb (0.750, 0.714, 0.375)
Rb (0.750, 0.786, 0.875)
Rb (0.786, 0.250, 0.125)
Co (0.000, 0.000, 0.500)
Co (0.000, 0.500, 0.750)
Co (0.500, 0.000, 0.250)
Co (0.500, 0.500, 0.000)
Cl (0.000, 0.000, 0.000)
Cl (0.000, 0.500, 0.250)
Cl (0.500, 0.000, 0.750)
Cl (0.500, 0.500, 0.500)


No. 2
Compound: NpFe3
Source: the Alexandria database
Functional: PBE
Structure: relaxed

Calculated formation energy: 0.08 eV/atom

a b c (Å): 3.804 3.804 7.620
angles (deg): 90.00 90.00 90.00
Sites, in units of the cell vectors:
Np (0.000, 0.000, 0.000)
Np (0.500, 0.500, 0.500)
Fe (0.000, 0.000, 0.500)
Fe (0.000, 0.500, 0.250)
Fe (0.000, 0.500, 0.750)
Fe (0.500, 0.000, 0.250)
Fe (0.500, 0.000, 0.750)
Fe (0.500, 0.500, 0.000)


No. 3
Compound: Sm4YAg
Source: the Alexandria database
Functional: PBE
Structure: relaxed

Calculated formation energy: 0.03 eV/atom
Offset from the most stable computed form: 104 meV/atom

a b c (Å): 10.805 10.805 6.497
angles (deg): 90.00 90.00 150.24
Sites, in units of the cell vectors:
Sm (0.036, 0.964, 0.500)
Sm (0.179, 0.821, 0.311)
Sm (0.248, 0.752, 0.784)
Sm (0.437, 0.563, 0.673)
Sm (0.563, 0.437, 0.173)
Sm (0.752, 0.248, 0.284)
Sm (0.821, 0.179, 0.811)
Sm (0.964, 0.036, 0.000)
Y (0.366, 0.634, 0.176)
Y (0.634, 0.366, 0.676)
Ag (0.105, 0.895, 0.912)
Ag (0.895, 0.105, 0.412)


No. 4
Compound: NdIrPb
Source: the Alexandria database
Functional: PBE
Structure: relaxed

Calculated formation energy: -0.32 eV/atom

a b c (Å): 3.488 17.231 5.020
angles (deg): 90.00 90.00 90.00
Sites, in units of the cell vectors:
Nd (0.000, 0.077, 0.250)
Nd (0.000, 0.923, 0.750)
Nd (0.500, 0.423, 0.750)
Nd (0.500, 0.577, 0.250)
Ir (0.000, 0.437, 0.250)
Ir (0.000, 0.563, 0.750)
Ir (0.500, 0.063, 0.750)
Ir (0.500, 0.937, 0.250)
Pb (0.000, 0.208, 0.750)
Pb (0.000, 0.792, 0.250)
Pb (0.500, 0.292, 0.250)
Pb (0.500, 0.708, 0.750)


No. 5
Compound: Ge2PO6
Source: the Alexandria database
Functional: PBE
Structure: relaxed

Calculated total energy: -6.5861 eV per atom

a b c (Å): 7.687 7.687 6.411
angles (deg): 113.96 113.96 91.11
Sites, in units of the cell vectors:
Ge (0.132, 0.267, 0.076)
Ge (0.267, 0.132, 0.576)
Ge (0.733, 0.868, 0.424)
Ge (0.868, 0.733, 0.924)
P (0.297, 0.703, 0.250)
P (0.703, 0.297, 0.750)
O (0.119, 0.678, 0.003)
O (0.150, 0.172, 0.778)
O (0.172, 0.150, 0.278)
O (0.279, 0.522, 0.297)
O (0.322, 0.881, 0.497)
O (0.478, 0.721, 0.203)
O (0.522, 0.279, 0.797)
O (0.678, 0.119, 0.503)
O (0.721, 0.478, 0.703)
O (0.828, 0.850, 0.722)
O (0.850, 0.828, 0.222)
O (0.881, 0.322, 0.997)


No. 6
Compound: TaHN2O
Source: the Alexandria database
Functional: PBE
Structure: relaxed

Calculated total energy: -7.0276 eV per atom

a b c (Å): 4.176 4.176 3.914
angles (deg): 90.00 90.00 90.00
Sites, in units of the cell vectors:
Ta (0.000, 0.000, 0.000)
H (0.500, 0.500, 0.500)
N (0.000, 0.500, 0.000)
N (0.500, 0.000, 0.000)
O (0.000, 0.000, 0.500)


No. 7
Compound: Pm14PrSm
Source: the Alexandria database
Functional: PBE
Structure: relaxed

Calculated formation energy: 0.03 eV/atom

a b c (Å): 11.824 7.376 7.376
angles (deg): 60.02 90.00 90.00
Sites, in units of the cell vectors:
Pm (0.000, 0.000, 0.000)
Pm (0.000, 0.000, 0.500)
Pm (0.000, 0.500, 0.000)
Pm (0.000, 0.500, 0.500)
Pm (0.249, 0.167, 0.167)
Pm (0.249, 0.167, 0.667)
Pm (0.249, 0.667, 0.167)
Pm (0.250, 0.667, 0.667)
Pm (0.500, 0.000, 0.500)
Pm (0.500, 0.500, 0.000)
Pm (0.750, 0.667, 0.667)
Pm (0.751, 0.167, 0.167)
Pm (0.751, 0.167, 0.667)
Pm (0.751, 0.667, 0.167)
Pr (0.500, 0.000, 0.000)
Sm (0.500, 0.500, 0.500)


No. 8
Compound: Mg2Bi2I
Source: the Alexandria database
Functional: PBE
Structure: relaxed

Offset from the most stable computed form: 0 meV/atom

a b c (Å): 5.573 5.573 10.499
angles (deg): 90.00 90.00 90.00
Sites, in units of the cell vectors:
Mg (0.000, 0.500, 0.250)
Mg (0.000, 0.500, 0.750)
Mg (0.500, 0.000, 0.250)
Mg (0.500, 0.000, 0.750)
Bi (0.000, 0.000, 0.142)
Bi (0.000, 0.000, 0.858)
Bi (0.500, 0.500, 0.358)
Bi (0.500, 0.500, 0.642)
I (0.000, 0.000, 0.500)
I (0.500, 0.500, 0.000)


No. 9
Compound: Ca2ScP
Source: the Alexandria database
Functional: PBE
Structure: relaxed

Calculated formation energy: -0.22 eV/atom

a b c (Å): 4.376 4.376 10.430
angles (deg): 90.00 90.00 90.00
Sites, in units of the cell vectors:
Ca (0.000, 0.000, 0.000)
Ca (0.000, 0.500, 0.250)
Ca (0.500, 0.000, 0.750)
Ca (0.500, 0.500, 0.500)
Sc (0.000, 0.000, 0.500)
Sc (0.500, 0.500, 0.000)
P (0.000, 0.500, 0.750)
P (0.500, 0.000, 0.250)


No. 10
Compound: AsCF2
Source: the Alexandria database
Functional: PBE
Structure: relaxed

Offset from the most stable computed form: 299 meV/atom

a b c (Å): 5.644 5.644 5.644
angles (deg): 60.00 60.00 60.00
Sites, in units of the cell vectors:
As (0.125, 0.125, 0.125)
As (0.875, 0.875, 0.875)
C (0.375, 0.375, 0.375)
C (0.625, 0.625, 0.625)
F (0.000, 0.500, 0.500)
F (0.500, 0.000, 0.500)
F (0.500, 0.500, 0.000)
F (0.500, 0.500, 0.500)


No. 11
Compound: ZrTi2As2
Source: the Alexandria database
Functional: PBE
Structure: relaxed

Calculated formation energy: -0.87 eV/atom
Offset from the most stable computed form: 0 meV/atom

a b c (Å): 7.128 7.128 3.410
angles (deg): 90.00 90.00 90.00
Sites, in units of the cell vectors:
Zr (0.000, 0.000, 0.000)
Zr (0.500, 0.500, 0.000)
Ti (0.150, 0.350, 0.500)
Ti (0.350, 0.850, 0.500)
Ti (0.650, 0.150, 0.500)
Ti (0.850, 0.650, 0.500)
As (0.144, 0.644, 0.000)
As (0.356, 0.144, 0.000)
As (0.644, 0.856, 0.000)
As (0.856, 0.356, 0.000)


No. 12
Compound: Rb2ReHgF6
Source: the Alexandria database
Functional: PBE
Structure: relaxed

Calculated total energy: -4.7326 eV per atom

a b c (Å): 6.935 6.935 6.935
angles (deg): 60.00 60.00 60.00
Sites, in units of the cell vectors:
Rb (0.250, 0.250, 0.250)
Rb (0.750, 0.750, 0.750)
Re (0.000, 0.000, 0.000)
Hg (0.500, 0.500, 0.500)
F (0.202, 0.202, 0.798)
F (0.202, 0.798, 0.202)
F (0.202, 0.798, 0.798)
F (0.798, 0.202, 0.202)
F (0.798, 0.202, 0.798)
F (0.798, 0.798, 0.202)


No. 13
Compound: NiWAu
Source: the Alexandria database
Functional: PBE
Structure: relaxed

Calculated formation energy: 0.26 eV/atom
Offset from the most stable computed form: 205 meV/atom

a b c (Å): 2.770 3.882 8.272
angles (deg): 90.00 90.00 90.00
Sites, in units of the cell vectors:
Ni (0.000, 0.000, 0.000)
Ni (0.500, 0.500, 0.500)
W (0.000, 0.000, 0.649)
W (0.500, 0.500, 0.149)
Au (0.000, 0.000, 0.327)
Au (0.500, 0.500, 0.827)